This record from the Alexandria database describes a crystal of AuC3 relaxed with PBEsol. The functional is meta-GGA SCAN.

Geometry as POSCAR:
```
AuC3
1.0
-4.043 1.180 -0.871
-1.466 -3.239 2.418
0.007 2.570 3.448
C Au
6 2
direct
0.750 0.500 0.000 C
0.250 0.500 0.000 C
0.000 0.750 0.500 C
0.000 0.250 0.500 C
0.500 0.000 0.250 C
0.500 0.000 0.750 C
0.000 0.000 0.000 Au
0.500 0.500 0.500 Au
```

Values from the calculation:
- Formation enthalpy at 0 K: 3619 meV/atom
- Space-group type: No. 223